Entry from Alexandria: a relaxed structure of LaMgAgGe (PBE).

It has space group F-43m (No. 216), with a = 7.185 Å, b = 7.185 Å, c = 7.185 Å, α = 90.00°, β = 90.00° and γ = 90.00°. The inequivalent atoms are La at (0.000, 0.000, 0.000), Mg at (0.000, 0.000, 0.500), Ag at (0.250, 0.250, 0.250) and Ge at (0.250, 0.250, 0.750).

For the formation energy, the calculation gives -0.429 eV/atom. The value obtained for the calculated total energy is -3.9272 eV per atom. The crystal system is cubic.